# 1
DFT (GGA-PBEsol) results for BeCd2Si after structural relaxation.

a b c (Å): 4.6177 4.6177 4.6177
angles (deg): 60.00 60.00 60.00
Fractional positions:
Be1 0.5000 0.5000 0.5000
Si1 0.7500 0.7500 0.7500
Cd1 0.0000 0.0000 0.0000
Cd2 0.2500 0.2500 0.2500

**Energy above the lowest structure with this stoichiometry**: 0.333 eV/atom
**E_form (uncorrected)**: 0.589 eV per atom

***

# 2
DFT (GGA-PBEsol) results for NiRu3W after structural relaxation.

a b c (Å): 4.2690 4.2690 4.2690
angles (deg): 90.00 90.00 90.00
Fractional positions:
Ru1 0.0000 0.5000 0.0000
Ru2 0.0000 0.0000 0.5000
Ru3 0.5000 0.0000 0.0000
W1 0.5000 0.5000 0.5000
Ni1 0.0000 0.0000 0.0000

**E_form**: 161 kJ/mol of atoms

***

# 3
DFT (GGA-PBEsol) results for CdHgAu2 after structural relaxation.

a b c (Å): 4.4035 4.9176 4.4035
angles (deg): 116.60 90.00 116.60
Fractional positions:
Au1 0.7500 0.5000 0.2500
Au2 0.2500 0.5000 0.7500
Hg1 0.5000 0.0000 0.5000
Cd1 0.0000 0.0000 0.0000

**E_form**: -5 kJ/mol of atoms

***

# 4
DFT (GGA-PBEsol) results for Ni3Ir after structural relaxation.

a b c (Å): 2.5777 2.5777 8.2075
angles (deg): 80.97 80.97 60.00
Fractional positions:
Ni1 0.2469 0.2469 0.2594
Ni2 0.5000 0.5000 0.5000
Ni3 0.7531 0.7531 0.7406
Ir1 0.0000 0.0000 0.0000

**E_form**: 8 kJ/mol of atoms

***

Size of the total moment per entry: 0.00, 1.43, 0.00, 1.92 μB per cell
Calculated volume per entry: 70, 78, 74, 46 Å³ per cell